The following is a DFT calculation (PBE with a Hubbard U) of a relaxed PaCd4FeO8 crystal.

## Properties
- E_tot: -80.651 eV for the cell shown
- Density: 6.934 g/cm³
- Space group: R3m (160)

Unit cell a=6.547 b=6.547 c=6.737 alpha=60.93 beta=60.93 gamma=60.00
Fractional positions:
1 O 0.762 0.762 0.715
2 O 0.221 0.782 0.216
3 Cd 0.509 0.996 0.498
4 Cd 0.996 0.509 0.498
5 O 0.240 0.240 0.281
6 O 0.755 0.235 0.775
7 O 0.235 0.235 0.775
8 O 0.782 0.221 0.216
9 O 0.782 0.782 0.216
10 O 0.235 0.755 0.775
11 Fe 0.992 0.992 0.024
12 Pa 0.365 0.365 0.905
13 Cd 0.631 0.631 0.106
14 Cd 0.996 0.996 0.498